1.
! CaZn2Ag (PBEsol, optimized geometry); values from VASP
&SYSTEM
  ibrav = 0, nat = 4, ntyp = 3
/
ATOMIC_SPECIES
Zn 65.41 Zn.upf
Ca 40.08 Ca.upf
Ag 107.87 Ag.upf
CELL_PARAMETERS angstrom
3.348 0.000 0.000
0.000 3.348 0.000
0.000 0.000 6.728
ATOMIC_POSITIONS crystal
Zn 0.000 0.000 0.797
Zn 0.000 0.000 0.203
Ca 0.500 0.500 0.500
Ag 0.500 0.500 0.000
! symmetry: No. 123
! volume: 18.85 Å³/atom

2.
! Ca2ZnAg2 (PBEsol, optimized geometry); values from VASP
&SYSTEM
  ibrav = 0, nat = 10, ntyp = 3
/
ATOMIC_SPECIES
Zn 65.41 Zn.upf
Ca 40.08 Ca.upf
Ag 107.87 Ag.upf
CELL_PARAMETERS angstrom
4.256 0.000 0.000
0.000 7.377 0.000
0.000 0.000 7.377
ATOMIC_POSITIONS crystal
Zn 0.000 0.000 0.000
Zn 0.000 0.500 0.500
Ca 0.500 0.174 0.674
Ca 0.500 0.674 0.826
Ca 0.500 0.826 0.326
Ca 0.500 0.326 0.174
Ag 0.000 0.368 0.868
Ag 0.000 0.868 0.632
Ag 0.000 0.632 0.132
Ag 0.000 0.132 0.368
! symmetry: No. 127
! volume: 23.16 Å³/atom

3.
! CaZnAg (PBEsol, optimized geometry); values from VASP
&SYSTEM
  ibrav = 0, nat = 3, ntyp = 3
/
ATOMIC_SPECIES
Zn 65.41 Zn.upf
Ca 40.08 Ca.upf
Ag 107.87 Ag.upf
CELL_PARAMETERS angstrom
3.485 0.000 0.000
0.000 3.485 0.000
-1.742 -1.742 5.043
ATOMIC_POSITIONS crystal
Zn 0.641 0.641 0.282
Ca 0.332 0.332 0.664
Ag 0.027 0.027 0.054
! symmetry: No. 107
! volume: 20.42 Å³/atom

4.
! Ca2Zn2Ag (PBEsol, optimized geometry); values from VASP
&SYSTEM
  ibrav = 0, nat = 10, ntyp = 3
/
ATOMIC_SPECIES
Zn 65.41 Zn.upf
Ca 40.08 Ca.upf
Ag 107.87 Ag.upf
CELL_PARAMETERS angstrom
4.275 0.000 0.000
0.000 7.250 0.000
0.000 0.000 7.250
ATOMIC_POSITIONS crystal
Zn 0.000 0.377 0.877
Zn 0.000 0.877 0.623
Zn 0.000 0.623 0.123
Zn 0.000 0.123 0.377
Ca 0.500 0.179 0.679
Ca 0.500 0.679 0.821
Ca 0.500 0.821 0.321
Ca 0.500 0.321 0.179
Ag 0.000 0.000 0.000
Ag 0.000 0.500 0.500
! excess energy over the best structure of this formula in the dataset: 0 kJ/mol of formula units
! symmetry: No. 127
! volume: 22.47 Å³/atom

5.
! CaZnAg (PBEsol, optimized geometry); values from VASP
&SYSTEM
  ibrav = 0, nat = 3, ntyp = 3
/
ATOMIC_SPECIES
Zn 65.41 Zn.upf
Ca 40.08 Ca.upf
Ag 107.87 Ag.upf
CELL_PARAMETERS angstrom
-1.611 -1.660 -2.866
3.617 -2.661 -0.492
-3.410 -1.293 2.666
ATOMIC_POSITIONS crystal
Zn 0.500 0.333 0.667
Ca 0.000 0.667 0.333
Ag 0.500 0.000 0.000
! symmetry: No. 187
! volume: 21.70 Å³/atom

6.
! Ca2Zn3Ag (PBEsol, optimized geometry); values from VASP
&SYSTEM
  ibrav = 0, nat = 6, ntyp = 3
/
ATOMIC_SPECIES
Zn 65.41 Zn.upf
Ca 40.08 Ca.upf
Ag 107.87 Ag.upf
CELL_PARAMETERS angstrom
-2.565 0.787 3.649
1.400 -3.197 4.484
2.167 3.953 3.481
ATOMIC_POSITIONS crystal
Zn 0.171 0.397 0.260
Zn 0.156 0.780 0.907
Zn 0.834 0.225 0.106
Ca 0.447 0.801 0.306
Ca 0.553 0.197 0.698
Ag 0.839 0.600 0.723
! symmetry: No. 8
! volume: 20.55 Å³/atom

7.
! CaZnAg2 (PBEsol, optimized geometry); values from VASP
&SYSTEM
  ibrav = 0, nat = 4, ntyp = 3
/
ATOMIC_SPECIES
Zn 65.41 Zn.upf
Ca 40.08 Ca.upf
Ag 107.87 Ag.upf
CELL_PARAMETERS angstrom
3.258 0.000 0.000
0.000 3.485 0.000
0.000 0.000 6.760
ATOMIC_POSITIONS crystal
Zn 0.500 0.500 0.500
Ca 0.500 0.500 0.000
Ag 0.000 0.000 0.705
Ag 0.000 0.000 0.295
! symmetry: No. 47
! volume: 19.19 Å³/atom

8.
! CaZnAg4 (PBEsol, optimized geometry); values from VASP
&SYSTEM
  ibrav = 0, nat = 6, ntyp = 3
/
ATOMIC_SPECIES
Zn 65.41 Zn.upf
Ca 40.08 Ca.upf
Ag 107.87 Ag.upf
CELL_PARAMETERS angstrom
5.452 0.000 0.000
2.726 4.721 0.000
2.726 1.574 4.451
ATOMIC_POSITIONS crystal
Zn 0.000 0.000 0.000
Ca 0.750 0.750 0.750
Ag 0.375 0.375 0.375
Ag 0.375 0.375 0.876
Ag 0.876 0.375 0.375
Ag 0.375 0.876 0.375
! symmetry: No. 216
! volume: 19.09 Å³/atom

9.
! CaZrAg2 (PBEsol, optimized geometry); values from VASP
&SYSTEM
  ibrav = 0, nat = 4, ntyp = 3
/
ATOMIC_SPECIES
Ca 40.08 Ca.upf
Zr 91.22 Zr.upf
Ag 107.87 Ag.upf
CELL_PARAMETERS angstrom
3.142 0.000 0.000
0.000 5.154 0.024
0.000 -0.036 5.154
ATOMIC_POSITIONS crystal
Ca 0.500 0.000 0.000
Zr 0.500 0.500 0.500
Ag 0.000 0.500 0.000
Ag 0.000 0.000 0.500
! symmetry: No. 65
! volume: 20.86 Å³/atom

10.
! CaZrAg2 (PBEsol, optimized geometry); values from VASP
&SYSTEM
  ibrav = 0, nat = 4, ntyp = 3
/
ATOMIC_SPECIES
Ca 40.08 Ca.upf
Zr 91.22 Zr.upf
Ag 107.87 Ag.upf
CELL_PARAMETERS angstrom
4.190 0.000 0.000
0.000 4.190 0.000
-2.095 -2.095 4.726
ATOMIC_POSITIONS crystal
Ca 0.500 0.500 0.000
Zr 0.250 0.750 0.500
Ag 0.000 0.000 0.000
Ag 0.750 0.250 0.500
! symmetry: No. 119
! volume: 20.75 Å³/atom

11.
! Ca4ZrAg (PBEsol, optimized geometry); values from VASP
&SYSTEM
  ibrav = 0, nat = 6, ntyp = 3
/
ATOMIC_SPECIES
Ag 107.87 Ag.upf
Ca 40.08 Ca.upf
Zr 91.22 Zr.upf
CELL_PARAMETERS angstrom
6.423 0.000 0.000
3.212 5.563 0.000
3.212 1.854 5.245
ATOMIC_POSITIONS crystal
Ag 0.000 0.000 0.000
Ca 0.375 0.375 0.375
Ca 0.375 0.375 0.874
Ca 0.874 0.375 0.375
Ca 0.375 0.874 0.375
Zr 0.750 0.750 0.750
! symmetry: No. 216
! volume: 31.23 Å³/atom

12.
! CaZr2Ag (PBEsol, optimized geometry); values from VASP
&SYSTEM
  ibrav = 0, nat = 4, ntyp = 3
/
ATOMIC_SPECIES
Ca 40.08 Ca.upf
Zr 91.22 Zr.upf
Ag 107.87 Ag.upf
CELL_PARAMETERS angstrom
4.472 0.000 0.000
0.000 4.472 0.000
-2.236 -2.236 4.430
ATOMIC_POSITIONS crystal
Ca 0.250 0.750 0.500
Zr 0.000 0.000 0.000
Zr 0.750 0.250 0.500
Ag 0.500 0.500 0.000
! symmetry: No. 119
! volume: 22.15 Å³/atom

Number 1: energy relative to the elements -0.56 eV/f.u.. Number 2: energy relative to the elements -1.09 eV/f.u.. Number 3: energy relative to the elements -0.64 eV/f.u.. Number 4: energy relative to the elements -1.00 eV/f.u.. Number 5: energy relative to the elements -0.79 eV/f.u.. Number 6: energy relative to the elements -1.75 eV/f.u.. Number 7: energy relative to the elements -0.57 eV/f.u.. Number 8: energy relative to the elements -0.66 eV/f.u.. Number 9: energy relative to the elements -0.33 eV/f.u.. Number 10: energy relative to the elements 0.60 eV/f.u.. Number 11: energy relative to the elements 4.26 eV/f.u.. Number 12: energy relative to the elements 1.29 eV/f.u..